1.
Compound: NbP2SO
Source: Alexandria via LeMat-Bulk
Functional: PBE-GGA
Structure: optimized geometry

Cell and atoms, written as POSCAR:
```
NbP2SO
1.0
4.5920 0.0000 0.0000
0.0000 4.5920 0.0000
0.0000 0.0000 3.4294
O P S Nb
1 2 1 1
Cartesian
0.0000 0.0000 1.7147
0.0000 2.2960 0.0000
2.2960 0.0000 0.0000
0.0000 0.0000 0.0000
2.2960 2.2960 1.7147
```

## Properties
Total moment = 0.83 μB/cell
Total energy = -5.6741 eV per atom
ρ = 4.7 Mg/m³
Energy above the most stable polymorph in this dataset = 371 meV per atom
Formation energy without anion corrections = 0.321 eV/atom
Fermi-level density of states = 3.285 states/eV/f.u.

=====

2.
Compound: NbPSO2
Source: Alexandria via LeMat-Bulk
Functional: PBE-GGA
Structure: optimized geometry

Cell and atoms, written as POSCAR:
```
NbPSO2
1.0
-0.4010 -2.2750 3.0552
0.0161 -3.0730 -2.2862
5.5775 -0.3317 0.4851
O Nb S P
2 1 1 1
Cartesian
-0.2005 -1.1375 1.5276
0.0080 -1.5365 -1.1431
0.0000 0.0000 0.0000
2.5963 -2.8399 0.6271
2.7888 -0.1659 0.2426
```

## Properties
Total moment = 0.00 μB/cell
Total energy = -6.9040 eV per atom
ρ = 3.8 Mg/m³
Formation energy without anion corrections = -0.999 eV/atom
Fermi-level density of states = 2.197 states/eV/f.u.

=====

3.
Compound: NbP2SO
Source: Alexandria via LeMat-Bulk
Functional: PBE-GGA
Structure: optimized geometry

Cell and atoms, written as POSCAR:
```
NbP2SO
1.0
-3.1249 1.9909 3.1168
-2.4316 -4.1805 0.2325
2.6715 -1.3568 3.5451
P O Nb S
2 1 1 1
Cartesian
-1.5625 0.9955 1.5584
-1.2158 -2.0903 0.1162
-1.4425 -1.7732 3.4472
0.0000 0.0000 0.0000
1.3358 -0.6784 1.7726
```

## Properties
Total moment = 0.11 μB/cell
Total energy = -5.2305 eV per atom
ρ = 3.1 Mg/m³
Energy above the most stable polymorph in this dataset = 815 meV per atom
Formation energy without anion corrections = 0.765 eV/atom
Fermi-level density of states = 6.752 states/eV/f.u.

=====

4.
Compound: NbP2SO
Source: Alexandria via LeMat-Bulk
Functional: PBE-GGA
Structure: optimized geometry

Cell and atoms, written as POSCAR:
```
NbP2SO
1.0
4.9539 0.0000 0.0000
0.0000 4.9539 0.0000
0.0000 0.0000 3.8593
O P S Nb
1 2 1 1
Cartesian
0.0000 0.0000 1.9296
2.4770 0.0000 0.0000
0.0000 2.4770 0.0000
2.4770 2.4770 1.9296
0.0000 0.0000 0.0000
```

## Properties
Total moment = 0.00 μB/cell
Total energy = -6.0450 eV per atom
ρ = 3.6 Mg/m³
Energy above the most stable polymorph in this dataset = 0 meV per atom
Formation energy without anion corrections = -0.050 eV/atom
Fermi-level density of states = 4.535 states/eV/f.u.

=====

5.
Compound: NbSb3P6O24
Source: Alexandria via LeMat-Bulk
Functional: PBE-GGA
Structure: optimized geometry

Cell and atoms, written as POSCAR:
```
NbSb3P6O24
1.0
-5.7130 5.3588 -4.5174
-6.7825 -3.2282 -5.0336
-8.6877 0.9424 2.3232
O P Sb Nb
24 6 3 1
Cartesian
-8.7457 2.4824 -1.9145
-15.0638 3.3654 -3.8714
-10.8577 -1.7804 -2.5120
-7.9940 3.9471 -5.0893
-8.9589 -0.2427 -2.4483
-12.0415 3.6917 -4.8111
-12.2735 0.3038 -5.5714
-13.1857 1.4447 -2.4129
-6.2956 -0.4224 -3.1558
-13.4289 -1.0482 -1.9537
-15.1952 0.5152 -4.6981
-14.2424 2.5752 -6.6147
-8.0344 1.4942 -4.4194
-8.8899 2.1134 -6.6236
-6.9823 0.7916 -0.6272
-4.6097 0.1317 0.0143
-6.0048 2.4281 -2.7964
-3.7547 2.1075 -1.6516
-11.1525 1.0574 -7.7301
-12.1937 5.3257 -2.8640
-3.8310 -0.4701 -2.5238
-10.0840 1.9152 0.1722
-9.0958 -1.9203 -4.3547
-10.4682 4.0504 -1.1742
-7.7615 2.4887 -5.5993
-9.3200 -1.7212 -2.8213
-11.7083 -0.1315 -6.8929
-11.8137 5.1050 -4.3574
-13.5105 0.3987 -1.3854
-9.3799 3.0713 -0.6082
-18.1253 2.6294 -6.1845
-7.4660 1.0831 -2.5475
-13.5260 1.9622 -4.6151
-2.9358 0.4259 -1.0017
```

## Properties
Total moment = 0.00 μB/cell
Total energy = -7.1001 eV per atom
ρ = 3.5 Mg/m³
Formation energy without anion corrections = -1.986 eV/atom

=====

6.
Compound: NbSbPO2
Source: Alexandria via LeMat-Bulk
Functional: PBE-GGA
Structure: optimized geometry

Cell and atoms, written as POSCAR:
```
NbSbPO2
1.0
-3.2607 2.0933 0.7138
-2.1748 -3.2660 -0.3568
0.5461 -0.9361 5.2397
O Nb Sb P
2 1 1 1
Cartesian
-1.0874 -1.6330 -0.1784
-1.6303 1.0467 0.3569
-2.4447 -1.0544 2.7984
0.0000 0.0000 0.0000
0.2731 -0.4680 2.6198
```

## Properties
Total moment = 2.34 μB/cell
Total energy = -6.0622 eV per atom
ρ = 5.6 Mg/m³
Energy above the most stable polymorph in this dataset = 944 meV per atom
Formation energy without anion corrections = -0.159 eV/atom
Fermi-level density of states = 3.187 states/eV/f.u.

=====

7.
Compound: NbSbPO2
Source: Alexandria via LeMat-Bulk
Functional: PBE-GGA
Structure: optimized geometry

Cell and atoms, written as POSCAR:
```
NbSbPO2
1.0
-0.4376 2.1189 -3.3160
-3.3829 -1.9070 -0.7721
-2.7567 3.7679 2.7715
Sb Nb O P
1 1 2 1
Cartesian
-3.2886 1.9899 -0.6583
0.0000 0.0000 0.0000
-0.2188 1.0595 -1.6580
-1.6915 -0.9535 -0.3861
-1.3783 1.8840 1.3858
```

## Properties
Total moment = 0.84 μB/cell
Total energy = -7.0065 eV per atom
ρ = 5.4 Mg/m³
Energy above the most stable polymorph in this dataset = 0 meV per atom
Formation energy without anion corrections = -1.103 eV/atom
Fermi-level density of states = 1.976 states/eV/f.u.

=====

8.
Compound: ScNbPO2
Source: Alexandria via LeMat-Bulk
Functional: PBE-GGA
Structure: optimized geometry

Cell and atoms, written as POSCAR:
```
ScNbPO2
1.0
3.8848 0.0000 0.0000
0.0000 3.8848 0.0000
0.0000 0.0000 5.2764
O P Nb Sc
2 1 1 1
Cartesian
1.9424 0.0000 0.0000
0.0000 1.9424 0.0000
0.0000 0.0000 2.6382
1.9424 1.9424 2.6382
0.0000 0.0000 0.0000
```

## Properties
Total moment = 0.67 μB/cell
Total energy = -7.3704 eV per atom
ρ = 4.2 Mg/m³
Energy above the most stable polymorph in this dataset = 676 meV per atom
Formation energy without anion corrections = -1.025 eV/atom
Fermi-level density of states = 3.721 states/eV/f.u.

=====

9.
Compound: ScNbP2O
Source: Alexandria via LeMat-Bulk
Functional: PBE-GGA
Structure: optimized geometry

Cell and atoms, written as POSCAR:
```
ScNbP2O
1.0
-0.7608 -3.9197 -2.8538
4.7913 -0.1653 -1.0504
0.5846 -2.3210 3.0320
P O Sc Nb
2 1 1 1
Cartesian
-0.3804 -1.9598 -1.4269
2.3956 -0.0826 -0.5252
0.2923 -1.1605 1.5160
2.3075 -3.2030 -0.4361
0.0000 0.0000 0.0000
```

## Properties
Total moment = 0.00 μB/cell
Total energy = -7.3382 eV per atom
ρ = 3.9 Mg/m³
Energy above the most stable polymorph in this dataset = 0 meV per atom
Formation energy without anion corrections = -0.902 eV/atom
Fermi-level density of states = 1.197 states/eV/f.u.

=====

10.
Compound: ScNbP2O
Source: Alexandria via LeMat-Bulk
Functional: PBE-GGA
Structure: optimized geometry

Cell and atoms, written as POSCAR:
```
ScNbP2O
1.0
-1.8684 -3.7402 -2.6016
3.5199 0.6003 -3.3909
2.2073 -2.4008 1.8663
Sc O Nb P
1 1 1 2
Cartesian
0.0000 0.0000 0.0000
1.1037 -1.2004 0.9331
1.9294 -2.7704 -2.0631
-0.9342 -1.8701 -1.3008
1.7600 0.3002 -1.6955
```

## Properties
Total moment = 0.00 μB/cell
Total energy = -6.6057 eV per atom
ρ = 3.9 Mg/m³
Energy above the most stable polymorph in this dataset = 733 meV per atom
Formation energy without anion corrections = -0.170 eV/atom
Fermi-level density of states = 5.835 states/eV/f.u.

=====

11.
Compound: ScNbPO2
Source: Alexandria via LeMat-Bulk
Functional: PBE-GGA
Structure: optimized geometry

Cell and atoms, written as POSCAR:
```
ScNbPO2
1.0
-3.7048 -0.0160 1.3012
-0.9399 -2.6826 -2.7091
1.1911 -3.7951 3.3448
O Nb Sc P
2 1 1 1
Cartesian
-0.4700 -1.3413 -1.3545
-1.8524 -0.0080 0.6506
0.0000 0.0000 0.0000
-1.7268 -3.2468 0.9685
0.5956 -1.8975 1.6724
```

## Properties
Total moment = 0.00 μB/cell
Total energy = -8.0463 eV per atom
ρ = 4.2 Mg/m³
Energy above the most stable polymorph in this dataset = 0 meV per atom
Formation energy without anion corrections = -1.701 eV/atom
Fermi-level density of states = 1.694 states/eV/f.u.

=====

12.
Compound: NbP2SeO
Source: Alexandria via LeMat-Bulk
Functional: PBE-GGA
Structure: optimized geometry

Cell and atoms, written as POSCAR:
```
NbP2SeO
1.0
4.7462 0.0000 0.0000
0.0000 4.7462 0.0000
0.0000 0.0000 3.6627
P Se Nb O
2 1 1 1
Cartesian
0.0000 2.3731 0.0000
2.3731 0.0000 0.0000
0.0000 0.0000 0.0000
2.3731 2.3731 1.8314
0.0000 0.0000 1.8314
```

## Properties
Total moment = 0.99 μB/cell
Total energy = -5.3598 eV per atom
ρ = 5.0 Mg/m³
Energy above the most stable polymorph in this dataset = 722 meV per atom
Formation energy without anion corrections = 0.507 eV/atom
Fermi-level density of states = 4.065 states/eV/f.u.